This record from the Alexandria database describes an optimized crystal structure of Rb2Tl2Se. The functional is GGA-PBE.

Cell lengths 5.2268, 5.2268, 15.6638 Å; angles 90.00, 90.00, 90.00 degrees
Fractional coordinates of all 10 atoms:
Rb  0.0000  0.5000  0.2500
Rb  0.0000  0.5000  0.7500
Rb  0.5000  0.0000  0.2500
Rb  0.5000  0.0000  0.7500
Tl  0.0000  0.0000  0.0887
Tl  0.0000  0.0000  0.9113
Tl  0.5000  0.5000  0.4113
Tl  0.5000  0.5000  0.5887
Se  0.0000  0.0000  0.5000
Se  0.5000  0.5000  0.0000

Values from the calculation:
magnetic moment	0.00	μB/atom
final energy	-19.432	eV per cell
energy above the lowest structure with this stoichiometry	0.377	eV/atom
space-group type	I4/mmm, No. 139
formation energy (no corrections)	87	meV/atom
ρ	5112	kg/m³